Entry 1:
Below is crystalline Ce2ZnHg at its relaxed geometry, with properties calculated at the PBE-GGA level.

Total DFT energy (no corrections): -14.4 eV per formula unit
ΔE_f: -0.239 eV per atom
Polymorph energy (0 for the lowest one): 0.000 eV/atom
Mass density: 8959 kg/m³

abc: 3.878 3.878 6.733
angles: 90.00 90.00 90.00
Each line ends with the local moment (μB).
Fractional coordinates of all 4 atoms:
Zn1 0.500 0.500 0.000  0.02
Hg1 0.500 0.500 0.500  0.01
Ce1 0.000 0.000 0.787  0.81
Ce2 0.000 0.000 0.213  0.81

***

Entry 2:
Below is crystalline Ce2Zn2Hg3 at its relaxed geometry, with properties calculated at the PBE-GGA level.

Total DFT energy (no corrections): -16.7 eV per formula unit
ΔE_f: -0.199 eV per atom
Polymorph energy (0 for the lowest one): 0.010 eV/atom
Mass density: 10141 kg/m³

abc: 3.360 4.533 11.123
angles: 101.76 90.00 90.00
Each line ends with the local moment (μB).
Fractional coordinates of all 7 atoms:
Ce1 0.000 0.842 0.684  0.89
Ce2 0.000 0.158 0.316  0.89
Zn1 0.500 0.721 0.442  0.01
Zn2 0.500 0.279 0.558  0.01
Hg1 0.500 0.577 0.153  0.01
Hg2 0.500 0.423 0.847  0.01
Hg3 0.000 0.000 0.000  0.00

***

Entry 3:
Below is crystalline CeZn2Hg at its relaxed geometry, with properties calculated at the PBE-GGA level.

Total DFT energy (no corrections): -9.6 eV per formula unit
ΔE_f: -0.213 eV per atom
Polymorph energy (0 for the lowest one): 0.036 eV/atom
Mass density: 9007 kg/m³

abc: 4.659 3.607 10.503
angles: 99.89 90.00 90.00
Each line ends with the local moment (μB).
Fractional coordinates of all 8 atoms:
Ce1 0.250 0.904 0.809  0.78
Ce2 0.750 0.096 0.191  0.78
Zn1 0.250 0.266 0.531  0.00
Zn2 0.750 0.734 0.469  0.00
Zn3 0.750 0.471 0.942  0.01
Zn4 0.250 0.529 0.058  0.01
Hg1 0.750 0.338 0.675  0.00
Hg2 0.250 0.662 0.325  0.00

***

Entry 4:
Below is crystalline Ce6Zn5Hg at its relaxed geometry, with properties calculated at the PBE-GGA level.

Total DFT energy (no corrections): -44.9 eV per formula unit
ΔE_f: -0.221 eV per atom
Mass density: 8312 kg/m³

abc: 5.496 6.394 8.416
angles: 67.68 87.88 90.00
Each line ends with the local moment (μB).
Fractional coordinates of all 12 atoms:
Zn1 0.631 0.165 0.670  0.00
Zn2 0.365 0.324 0.352  0.00
Zn3 0.000 0.500 0.000  0.00
Zn4 0.635 0.676 0.648  0.00
Zn5 0.369 0.835 0.330  0.00
Hg1 0.000 0.000 0.000  0.00
Ce1 0.865 0.551 0.350  0.23
Ce2 0.865 0.100 0.350  0.23
Ce3 0.500 0.717 0.000  0.57
Ce4 0.500 0.283 0.000  0.57
Ce5 0.135 0.900 0.650  0.23
Ce6 0.135 0.449 0.650  0.23

***

Entry 5:
Below is crystalline Ce6Zn2Hg at its relaxed geometry, with properties calculated at the PBE-GGA level.

Total DFT energy (no corrections): -39.3 eV per formula unit
ΔE_f: -0.099 eV per atom
Polymorph energy (0 for the lowest one): 0.017 eV/atom
Mass density: 8635 kg/m³

abc: 3.309 8.869 8.869
angles: 120.00 90.00 90.00
Each line ends with the local moment (μB).
Fractional coordinates of all 9 atoms:
Ce1 0.000 0.410 0.000  0.44
Ce2 0.000 0.000 0.410  0.44
Ce3 0.000 0.590 0.590  0.44
Ce4 0.500 0.303 0.303  0.47
Ce5 0.500 0.000 0.697  0.47
Ce6 0.500 0.697 0.000  0.47
Zn1 0.500 0.333 0.667  0.00
Zn2 0.500 0.667 0.333  0.00
Hg1 0.000 0.000 0.000  0.01

***

Entry 6:
Below is crystalline Ce6Zn2Hg at its relaxed geometry, with properties calculated at the PBE-GGA level.

Total DFT energy (no corrections): -39.5 eV per formula unit
ΔE_f: -0.116 eV per atom
Polymorph energy (0 for the lowest one): 0.000 eV/atom
Mass density: 9546 kg/m³

abc: 2.927 8.968 8.968
angles: 120.00 90.00 90.00
Each line ends with the local moment (μB).
Fractional coordinates of all 9 atoms:
Ce1 0.500 0.346 0.346  0.22
Ce2 0.500 0.654 0.654  0.22
Ce3 0.500 0.000 0.654  0.22
Ce4 0.500 0.654 0.000  0.22
Ce5 0.500 0.346 0.000  0.22
Ce6 0.500 0.000 0.346  0.22
Zn1 0.000 0.333 0.667  0.00
Zn2 0.000 0.667 0.333  0.00
Hg1 0.000 0.000 0.000  0.00

***

Entry 7:
Below is crystalline Ce2Zn2Hg3 at its relaxed geometry, with properties calculated at the PBE-GGA level.

Total DFT energy (no corrections): -16.8 eV per formula unit
ΔE_f: -0.209 eV per atom
Polymorph energy (0 for the lowest one): 0.000 eV/atom
Mass density: 9896 kg/m³

abc: 4.523 7.413 10.386
angles: 90.00 102.58 90.00
Each line ends with the local moment (μB).
Fractional coordinates of all 14 atoms:
Ce1 0.164 0.250 0.327  0.81
Ce2 0.836 0.750 0.673  0.81
Ce3 0.948 0.250 0.896  1.01
Ce4 0.052 0.750 0.104  1.01
Zn1 0.690 0.937 0.380  0.00
Zn2 0.310 0.063 0.620  0.00
Zn3 0.310 0.437 0.620  0.00
Zn4 0.690 0.563 0.380  0.00
Hg1 0.222 0.750 0.445  0.01
Hg2 0.778 0.250 0.555  0.01
Hg3 0.566 0.441 0.133  0.04
Hg4 0.434 0.559 0.867  0.04
Hg5 0.434 0.941 0.867  0.04
Hg6 0.566 0.059 0.133  0.04

***

Entry 8:
Below is crystalline Ce4ZnHg at its relaxed geometry, with properties calculated at the PBE-GGA level.

Total DFT energy (no corrections): -25.8 eV per formula unit
ΔE_f: -0.079 eV per atom
Polymorph energy (0 for the lowest one): 0.045 eV/atom
Mass density: 9055 kg/m³

abc: 3.370 7.471 12.359
angles: 90.00 90.00 103.03
Each line ends with the local moment (μB).
Fractional coordinates of all 12 atoms:
Ce1 0.053 0.106 0.241  0.31
Ce2 0.947 0.894 0.741  0.31
Ce3 0.927 0.854 0.030  0.05
Ce4 0.073 0.146 0.530  0.05
Ce5 0.709 0.417 0.311  0.40
Ce6 0.291 0.583 0.811  0.40
Ce7 0.427 0.854 0.470  0.07
Ce8 0.573 0.146 0.970  0.07
Zn1 0.626 0.253 0.735  0.00
Zn2 0.374 0.747 0.235  0.00
Hg1 0.762 0.524 0.575  0.00
Hg2 0.238 0.476 0.075  0.00

***

Entry 9:
Below is crystalline Ce2ZnHg3 at its relaxed geometry, with properties calculated at the PBE-GGA level.

Total DFT energy (no corrections): -16.1 eV per formula unit
ΔE_f: -0.340 eV per atom
Polymorph energy (0 for the lowest one): 0.000 eV/atom
Mass density: 10842 kg/m³

abc: 6.014 6.014 9.258
angles: 101.92 101.92 111.34
Each line ends with the local moment (μB).
Fractional coordinates of all 12 atoms:
Ce1 0.250 0.750 0.500  0.96
Ce2 0.755 0.755 0.000  0.99
Ce3 0.750 0.250 0.500  0.96
Ce4 0.245 0.245 0.000  0.99
Zn1 0.667 0.667 0.333  0.01
Zn2 0.333 0.333 0.667  0.01
Hg1 0.344 0.827 0.171  0.01
Hg2 0.173 0.656 0.829  0.01
Hg3 0.656 0.173 0.829  0.01
Hg4 0.827 0.344 0.171  0.01
Hg5 0.171 0.171 0.343  0.01
Hg6 0.829 0.829 0.657  0.01

***

Entry 10:
Below is crystalline Ce2ZnHg at its relaxed geometry, with properties calculated at the PBE-GGA level.

Total DFT energy (no corrections): -14.3 eV per formula unit
ΔE_f: -0.203 eV per atom
Polymorph energy (0 for the lowest one): 0.036 eV/atom
Mass density: 8641 kg/m³

abc: 5.295 5.295 5.295
angles: 60.00 60.00 60.00
Each line ends with the local moment (μB).
Fractional coordinates of all 4 atoms:
Zn1 0.000 0.000 0.000  0.02
Hg1 0.500 0.500 0.500  0.03
Ce1 0.750 0.750 0.750  0.96
Ce2 0.250 0.250 0.250  0.96

***

Entry 11:
Below is crystalline CeZn3Hg at its relaxed geometry, with properties calculated at the PBE-GGA level.

Total DFT energy (no corrections): -11.0 eV per formula unit
ΔE_f: -0.187 eV per atom
Polymorph energy (0 for the lowest one): 0.000 eV/atom
Mass density: 8803 kg/m³

abc: 7.170 6.070 6.001
angles: 86.47 60.61 64.96
Each line ends with the local moment (μB).
Fractional coordinates of all 10 atoms:
Ce1 0.194 0.692 0.246  0.87
Ce2 0.806 0.308 0.754  0.87
Zn1 0.093 0.255 0.077  0.00
Zn2 0.248 0.873 0.723  0.00
Zn3 0.907 0.745 0.923  0.00
Zn4 0.752 0.127 0.277  0.00
Zn5 0.655 0.597 0.320  0.00
Zn6 0.345 0.403 0.680  0.00
Hg1 0.631 0.888 0.705  0.00
Hg2 0.369 0.112 0.295  0.00

***

Entry 12:
Below is crystalline CeZn2Hg at its relaxed geometry, with properties calculated at the PBE-GGA level.

Total DFT energy (no corrections): -9.8 eV per formula unit
ΔE_f: -0.244 eV per atom
Polymorph energy (0 for the lowest one): 0.005 eV/atom
Mass density: 9412 kg/m³

abc: 4.900 4.900 4.900
angles: 60.00 60.00 60.00
Each line ends with the local moment (μB).
Fractional coordinates of all 4 atoms:
Zn1 0.250 0.250 0.250  0.01
Zn2 0.750 0.750 0.750  0.01
Hg1 0.500 0.500 0.500  0.00
Ce1 0.000 0.000 0.000  0.62

***

total DFT energy (no corrections) of number 4 (Ce6Zn5Hg)?
-44.9 eV per formula unit

***

Which of these has the highest total DFT energy (no corrections)?
number 3